Entry 1:
Computed, not measured: a relaxed RbSm2AgO4 crystal at the PBE level of DFT.

The calculation puts the uncorrected formation energy at -2.257 eV/atom. Its energy is -102.298 eV for the cell shown. The value obtained for the density of states at the Fermi level is 0.000 states/eV/cell. The space-group type is Cmcm.

Unit cell a=3.649 b=6.365 c=12.683 alpha=90.00 beta=90.00 gamma=106.66
Element x y z (fractional)
Rb (0.088, 0.176, 0.750)
Rb (0.912, 0.824, 0.250)
Sm (0.367, 0.734, 0.560)
Sm (0.633, 0.266, 0.060)
Sm (0.633, 0.266, 0.440)
Sm (0.367, 0.734, 0.940)
Ag (0.805, 0.611, 0.750)
Ag (0.195, 0.389, 0.250)
O (0.251, 0.502, 0.085)
O (0.749, 0.498, 0.585)
O (0.749, 0.498, 0.915)
O (0.251, 0.502, 0.415)
O (0.000, 0.000, 0.500)
O (0.000, 0.000, 0.000)
O (0.422, 0.844, 0.750)
O (0.578, 0.156, 0.250)

=====

Entry 2:
Computed, not measured: a relaxed RbSmAgO2 crystal at the PBE level of DFT.

The calculation puts the uncorrected formation energy at -1.586 eV/atom. Its energy is -52.765 eV for the cell shown. The value obtained for the density of states at the Fermi level is 3.066 states/eV/cell. The space-group type is P2/c.

Unit cell a=5.588 b=6.921 c=6.755 alpha=94.66 beta=90.00 gamma=90.00
Element x y z (fractional)
Rb (0.274, 0.500, 0.750)
Rb (0.726, 0.500, 0.250)
Sm (0.485, 0.000, 0.250)
Sm (0.515, 0.000, 0.750)
Ag (0.000, 0.000, 0.000)
Ag (0.000, 0.000, 0.500)
O (0.626, 0.805, 0.991)
O (0.626, 0.195, 0.509)
O (0.374, 0.805, 0.491)
O (0.374, 0.195, 0.009)

=====

Entry 3:
Computed, not measured: a relaxed Rb2AgSn3O8 crystal at the PBE level of DFT.

The calculation puts the uncorrected formation energy at -1.383 eV/atom. Its energy is -75.828 eV for the cell shown. The value obtained for the density of states at the Fermi level is 3.689 states/eV/cell. The space-group type is R3m.

Unit cell a=6.525 b=6.525 c=7.910 alpha=65.64 beta=65.64 gamma=60.00
Each line ends with the local moment (μB).
Element x y z (fractional)
Rb (0.137, 0.137, 0.588)  0.00
Rb (0.491, 0.491, 0.528)  0.00
Ag (0.978, 0.978, 0.065)  0.40
Sn (0.491, 0.989, 0.028)  -0.01
Sn (0.989, 0.491, 0.028)  -0.01
Sn (0.491, 0.491, 0.028)  -0.01
O (0.271, 0.271, 0.188)  -0.01
O (0.711, 0.711, 0.867)  -0.01
O (0.220, 0.220, 0.877)  0.08
O (0.684, 0.220, 0.877)  0.08
O (0.220, 0.684, 0.877)  0.08
O (0.752, 0.305, 0.190)  0.11
O (0.305, 0.752, 0.190)  0.11
O (0.752, 0.752, 0.190)  0.11

=====

Entry 4:
Computed, not measured: a relaxed Rb2TaAgO crystal at the PBE level of DFT.

The calculation puts the uncorrected formation energy at -0.176 eV/atom. Its energy is -22.478 eV for the cell shown. The value obtained for the density of states at the Fermi level is 2.121 states/eV/cell. The space-group type is P4/mmm.

Unit cell a=6.529 b=3.938 c=6.529 alpha=90.00 beta=90.00 gamma=90.00
Each line ends with the local moment (μB).
Element x y z (fractional)
O (0.000, 0.000, 0.000)  -0.06
Rb (0.000, 0.000, 0.500)  0.01
Rb (0.500, 0.000, 0.000)  0.02
Ag (0.500, 0.500, 0.500)  0.00
Ta (0.000, 0.500, 0.000)  1.33

=====

Entry 5:
Computed, not measured: a relaxed RbTb2AgO4 crystal at the PBE level of DFT.

The calculation puts the uncorrected formation energy at -2.299 eV/atom. Its energy is -102.608 eV for the cell shown. The value obtained for the density of states at the Fermi level is 0.000 states/eV/cell. The space-group type is Cmcm.

Unit cell a=3.581 b=6.265 c=12.557 alpha=90.00 beta=90.00 gamma=106.61
Element x y z (fractional)
Rb (0.089, 0.178, 0.750)
Rb (0.911, 0.822, 0.250)
Tb (0.367, 0.733, 0.559)
Tb (0.633, 0.267, 0.059)
Tb (0.633, 0.267, 0.441)
Tb (0.367, 0.733, 0.941)
Ag (0.806, 0.612, 0.750)
Ag (0.194, 0.388, 0.250)
O (0.251, 0.501, 0.083)
O (0.749, 0.499, 0.583)
O (0.749, 0.499, 0.917)
O (0.251, 0.501, 0.417)
O (0.000, 0.000, 0.500)
O (0.000, 0.000, 0.000)
O (0.423, 0.847, 0.750)
O (0.577, 0.153, 0.250)

=====

Entry 6:
Computed, not measured: a relaxed RbTbAgO3 crystal at the PBE level of DFT.

The calculation puts the uncorrected formation energy at -1.676 eV/atom. Its energy is -66.764 eV for the cell shown. The value obtained for the density of states at the Fermi level is 5.176 states/eV/cell. The space-group type is P2_1/m.

Unit cell a=3.586 b=7.107 c=9.961 alpha=110.40 beta=90.00 gamma=90.00
Each line ends with the local moment (μB).
Element x y z (fractional)
Rb (0.250, 0.250, 0.253)  0.00
Rb (0.750, 0.750, 0.747)  0.00
Tb (0.250, 0.671, 0.135)  -0.02
Tb (0.750, 0.329, 0.865)  -0.02
Ag (0.250, 0.141, 0.576)  0.13
Ag (0.750, 0.859, 0.424)  0.13
O (0.750, 0.896, 0.201)  0.23
O (0.250, 0.104, 0.799)  0.23
O (0.250, 0.700, 0.389)  0.16
O (0.750, 0.300, 0.611)  0.16
O (0.750, 0.447, 0.101)  0.02
O (0.250, 0.553, 0.899)  0.02

=====

Entry 7:
Computed, not measured: a relaxed RbTbAgO2 crystal at the PBE level of DFT.

The calculation puts the uncorrected formation energy at -1.653 eV/atom. Its energy is -53.257 eV for the cell shown. The value obtained for the density of states at the Fermi level is 3.195 states/eV/cell. The space-group type is P2/c.

Unit cell a=5.622 b=6.890 c=6.563 alpha=95.53 beta=90.00 gamma=90.00
Element x y z (fractional)
Rb (0.279, 0.500, 0.750)
Rb (0.721, 0.500, 0.250)
Tb (0.483, 0.000, 0.250)
Tb (0.517, 0.000, 0.750)
Ag (0.000, 0.000, 0.000)
Ag (0.000, 0.000, 0.500)
O (0.621, 0.807, 0.989)
O (0.621, 0.193, 0.511)
O (0.379, 0.807, 0.489)
O (0.379, 0.193, 0.011)

=====

Entry 8:
Computed, not measured: a relaxed Rb3Tc2AgO8 crystal at the PBE level of DFT.

The calculation puts the uncorrected formation energy at -1.432 eV/atom. Its energy is -86.203 eV for the cell shown. The value obtained for the density of states at the Fermi level is 11.234 states/eV/cell. The space-group type is P-3m1.

Unit cell a=6.202 b=6.202 c=8.107 alpha=90.00 beta=90.00 gamma=120.00
Each line ends with the local moment (μB).
Element x y z (fractional)
Rb (0.333, 0.667, 0.659)  0.00
Rb (0.667, 0.333, 0.341)  0.00
Rb (0.000, 0.000, 0.000)  0.00
Tc (0.333, 0.667, 0.218)  0.64
Tc (0.667, 0.333, 0.782)  0.64
Ag (0.000, 0.000, 0.500)  0.02
O (0.333, 0.667, 0.000)  0.04
O (0.667, 0.333, 0.000)  0.04
O (0.177, 0.823, 0.300)  0.06
O (0.823, 0.177, 0.700)  0.06
O (0.177, 0.354, 0.300)  0.06
O (0.823, 0.646, 0.700)  0.06
O (0.646, 0.823, 0.300)  0.06
O (0.354, 0.177, 0.700)  0.06

=====

Entry 9:
Computed, not measured: a relaxed RbTcAgO4 crystal at the PBE level of DFT.

The calculation puts the uncorrected formation energy at -1.203 eV/atom. Its energy is -84.875 eV for the cell shown. The value obtained for the density of states at the Fermi level is 6.199 states/eV/cell. The space-group type is P2_1/m.

Unit cell a=5.949 b=6.295 c=8.500 alpha=90.00 beta=118.18 gamma=90.00
Element x y z (fractional)
Rb (0.637, 0.750, 0.900)
Rb (0.363, 0.250, 0.100)
Tc (0.237, 0.750, 0.312)
Tc (0.763, 0.250, 0.688)
Ag (0.925, 0.750, 0.558)
Ag (0.075, 0.250, 0.442)
O (0.943, 0.486, 0.784)
O (0.057, 0.986, 0.216)
O (0.057, 0.514, 0.216)
O (0.943, 0.014, 0.784)
O (0.524, 0.750, 0.295)
O (0.476, 0.250, 0.705)
O (0.298, 0.750, 0.539)
O (0.702, 0.250, 0.461)

=====

Entry 10:
Computed, not measured: a relaxed RbTcAg2O4 crystal at the PBE level of DFT.

The calculation puts the uncorrected formation energy at -0.878 eV/atom. Its energy is -43.893 eV for the cell shown. The value obtained for the density of states at the Fermi level is 4.131 states/eV/cell. The space-group type is I-42m.

Unit cell a=6.059 b=6.059 c=5.766 alpha=121.68 beta=121.68 gamma=90.00
Each line ends with the local moment (μB).
Element x y z (fractional)
Rb (0.000, 0.000, 0.000)  0.01
Tc (0.500, 0.500, 0.000)  1.11
Ag (0.750, 0.250, 0.500)  0.03
Ag (0.250, 0.750, 0.500)  0.03
O (0.534, 0.534, 0.719)  0.08
O (0.466, 0.815, 0.281)  0.08
O (0.815, 0.466, 0.281)  0.08
O (0.185, 0.185, 0.719)  0.08

=====

Entry 11:
Computed, not measured: a relaxed RbTc2AgO8 crystal at the PBE level of DFT.

The calculation puts the uncorrected formation energy at -1.365 eV/atom. Its energy is -80.595 eV for the cell shown. The value obtained for the density of states at the Fermi level is 0.000 states/eV/cell. The space-group type is C2/m.

Unit cell a=5.983 b=6.526 c=7.778 alpha=61.00 beta=67.38 gamma=62.72
Element x y z (fractional)
Rb (0.500, 0.500, 0.500)
Tc (0.297, 0.233, 0.173)
Tc (0.703, 0.767, 0.827)
Ag (0.000, 0.000, 0.000)
O (0.866, 0.588, 0.681)
O (0.673, 0.573, 0.080)
O (0.134, 0.412, 0.319)
O (0.327, 0.427, 0.920)
O (0.605, 0.039, 0.225)
O (0.395, 0.961, 0.775)
O (0.132, 0.039, 0.225)
O (0.868, 0.961, 0.775)

=====

Entry 12:
Computed, not measured: a relaxed Rb2AgTeO4 crystal at the PBE level of DFT.

The calculation puts the uncorrected formation energy at -1.042 eV/atom. Its energy is -36.095 eV for the cell shown. The value obtained for the density of states at the Fermi level is 1.603 states/eV/cell. The space-group type is C2.

Unit cell a=6.297 b=6.476 c=6.342 alpha=126.07 beta=125.22 gamma=80.95
Each line ends with the local moment (μB).
Element x y z (fractional)
Rb (0.521, 0.021, 0.042)  0.00
Rb (0.273, 0.273, 0.546)  0.01
Ag (0.002, 0.502, 0.005)  0.02
Te (0.752, 0.752, 0.505)  0.11
O (0.656, 0.584, 0.628)  0.24
O (0.810, 0.457, 0.210)  0.04
O (0.400, 0.753, 0.211)  0.04
O (0.972, 0.044, 0.628)  0.24

=====

- Among the records above, which one has the lowest energy?
  RbTb2AgO4

=====

- Among the records above, which one has the highest energy?
  Rb2TaAgO

=====

- Look up the uncorrected formation energy of the second one.
  -1.586 eV/atom